This record from Alexandria describes a relaxed CrInSb2 crystal. The functional is PBE.

Geometry as POSCAR:
```
CrInSb2
1.0
3.1756 0.0000 0.0000
0.0000 3.7468 0.0000
0.0000 0.0000 8.1346
Cr In Sb
1 1 2
direct
0.0000 0.0000 0.0000 Cr
0.0000 0.0000 0.5000 In
0.5000 0.5000 0.1971 Sb
0.5000 0.5000 0.8029 Sb
```

Properties
Space group   Pmmm, No. 47
Fermi-level density of states   0.608 states/eV/atom
Total moment   3.234 Bohr magnetons per cell
Uncorrected formation energy   0.165 eV per atom
Raw total energy   -19.95 eV per cell
Crystal system   orthorhombic